Entry 1:
{"formula": "K3La2BiTe6", "functional": "PBE", "state": "optimized geometry", "formation_energy_uncorrected_ev_per_atom": -1.200, "lattice_angstrom": [[8.101, -0.001, 0.000], [-4.050, 7.017, 0.000], [-1.351, -2.339, 8.254]], "species": ["K", "K", "K", "Bi", "Te", "Te", "Te", "Te", "Te", "Te", "La", "La"], "fractional_positions": [[0.834, 0.166, 0.500], [0.500, 0.500, 0.500], [0.166, 0.834, 0.500], [0.000, 0.000, 0.000], [0.400, 0.072, 0.215], [0.743, 0.743, 0.215], [0.928, 0.600, 0.785], [0.257, 0.257, 0.785], [0.072, 0.400, 0.215], [0.600, 0.928, 0.785], [0.667, 0.333, 0.000], [0.333, 0.667, 0.000]]}

---

Entry 2:
{"formula": "SrHg2Ge", "functional": "PBE", "state": "optimized geometry", "e_form_ev_per_fu": -1.38, "lattice_angstrom": [[-3.331, -1.772, 2.750], [3.041, -9.050, -2.148], [7.588, 1.136, 5.959]], "species": ["Hg", "Hg", "Hg", "Hg", "Hg", "Hg", "Hg", "Hg", "Ge", "Ge", "Ge", "Ge", "Sr", "Sr", "Sr", "Sr"], "fractional_positions": [[0.693, 0.600, 0.385], [0.938, 0.750, 0.875], [0.307, 0.100, 0.615], [0.088, 0.750, 0.177], [0.062, 0.250, 0.125], [0.307, 0.400, 0.615], [0.693, 0.900, 0.385], [0.912, 0.250, 0.823], [0.145, 0.480, 0.290], [0.145, 0.020, 0.290], [0.855, 0.980, 0.710], [0.855, 0.520, 0.710], [0.500, 0.500, 0.000], [0.703, 0.250, 0.407], [0.297, 0.750, 0.593], [0.500, 0.000, 0.000]]}

---

Entry 3:
{"formula": "Ce5Mg2Pb4", "functional": "PBE", "state": "optimized geometry", "e_form_ev_per_fu": -0.92, "lattice_angstrom": [[-0.968, -4.239, 0.674], [5.561, -0.482, 4.953], [-8.902, 5.088, 4.864]], "species": ["Mg", "Mg", "Ce", "Ce", "Ce", "Ce", "Ce", "Pb", "Pb", "Pb", "Pb"], "fractional_positions": [[0.428, 0.428, 0.856], [0.572, 0.572, 0.144], [0.158, 0.970, 0.317], [0.842, 0.030, 0.683], [0.842, 0.654, 0.684], [0.500, 0.000, 0.000], [0.158, 0.346, 0.316], [0.000, 0.708, 0.000], [0.705, 0.705, 0.411], [0.295, 0.295, 0.589], [0.000, 0.292, 0.000]]}

---

Entry 4:
{"formula": "ZrCuRh2", "functional": "PBE", "state": "optimized geometry", "e_form_ev_per_fu": -0.40, "lattice_angstrom": [[-0.623, 7.945, 2.167], [-2.132, 6.600, 4.484], [0.934, 6.818, 4.566]], "species": ["Cu", "Rh", "Rh", "Zr"], "fractional_positions": [[0.750, 0.750, 0.750], [0.001, 0.001, 0.001], [0.499, 0.499, 0.499], [0.250, 0.250, 0.250]]}

---

Entry 5:
{"formula": "TbDy3Tm2", "functional": "PBE", "state": "optimized geometry", "e_form_ev_per_fu": -0.02, "lattice_angstrom": [[7.104, 0.000, 0.000], [0.000, 6.145, -0.193], [-3.552, -1.782, 8.551]], "species": ["Tb", "Tb", "Dy", "Dy", "Dy", "Dy", "Dy", "Dy", "Tm", "Tm", "Tm", "Tm"], "fractional_positions": [[0.376, 0.250, 0.000], [0.624, 0.750, 0.000], [0.874, 0.250, 0.000], [0.043, 0.029, 0.335], [0.707, 0.471, 0.665], [0.957, 0.971, 0.665], [0.293, 0.529, 0.335], [0.126, 0.750, 0.000], [0.208, 0.472, 0.665], [0.542, 0.028, 0.335], [0.792, 0.528, 0.335], [0.458, 0.972, 0.665]]}

---

Entry 6:
{"formula": "TlReAuO2", "functional": "PBE", "state": "optimized geometry", "formation_energy_uncorrected_ev_per_atom": 1.091, "de_polymorph_kj_per_mol_atoms": 174.6, "lattice_angstrom": [[4.075, 0.000, 0.000], [0.000, 5.413, 0.000], [0.000, 0.000, 4.075]], "species": ["O", "O", "Au", "Tl", "Re"], "fractional_positions": [[0.500, 0.000, 0.000], [0.000, 0.000, 0.500], [0.000, 0.000, 0.000], [0.500, 0.500, 0.500], [0.000, 0.500, 0.000]]}

---

Entry 7:
{"formula": "Ca2PtBr", "functional": "PBE", "state": "optimized geometry", "formation_energy_uncorrected_ev_per_atom": -1.129, "de_polymorph_kj_per_mol_atoms": 8.2, "lattice_angstrom": [[-6.554, -0.090, -4.873], [-3.958, -1.880, -6.892], [-1.125, -3.410, 1.577]], "species": ["Ca", "Ca", "Pt", "Br"], "fractional_positions": [[0.815, 0.815, 0.625], [0.021, 0.021, 0.125], [0.450, 0.450, 0.625], [0.214, 0.214, 0.125]]}

---

Entry 8:
{"formula": "Tb2InGa4Cu3", "functional": "PBE", "state": "optimized geometry", "e_form_ev_per_fu": -4.21, "lattice_angstrom": [[-4.081, 0.680, -0.341], [-0.509, -3.825, -1.529], [-1.455, -3.768, 9.908]], "species": ["Ga", "Ga", "Ga", "Ga", "Tb", "Tb", "Cu", "Cu", "Cu", "In"], "fractional_positions": [[0.500, 0.000, 0.656], [0.500, 0.500, 0.000], [0.000, 0.500, 0.344], [0.000, 0.000, 0.000], [0.000, 0.500, 0.765], [0.500, 0.000, 0.235], [0.000, 0.500, 0.125], [0.500, 0.000, 0.875], [0.000, 0.000, 0.500], [0.500, 0.500, 0.500]]}

---

Entry 9:
{"formula": "CaNi6As2", "functional": "PBE", "state": "optimized geometry", "e_form_ev_per_fu": -1.43, "de_polymorph_kj_per_mol_atoms": 14.2, "lattice_angstrom": [[3.746, 0.318, 0.909], [1.031, 5.872, 1.945], [0.478, 0.066, 6.252]], "species": ["Ca", "Ni", "Ni", "Ni", "Ni", "Ni", "Ni", "As", "As"], "fractional_positions": [[0.000, 0.000, 0.000], [0.811, 0.504, 0.873], [0.500, 0.312, 0.688], [0.500, 0.688, 0.312], [0.189, 0.127, 0.496], [0.189, 0.496, 0.127], [0.811, 0.873, 0.504], [0.302, 0.698, 0.698], [0.698, 0.302, 0.302]]}

---

Entry 10:
{"formula": "K2Bi2Br", "functional": "PBE", "state": "optimized geometry", "formation_energy_uncorrected_ev_per_atom": -0.341, "de_polymorph_kj_per_mol_atoms": 17.5, "lattice_angstrom": [[-6.294, -2.808, -0.317], [2.097, -5.160, 4.072], [-3.485, -1.337, 5.946]], "species": ["Br", "K", "K", "Bi", "Bi"], "fractional_positions": [[0.000, 0.000, 0.000], [0.250, 0.750, 0.500], [0.750, 0.250, 0.500], [0.637, 0.637, 0.726], [0.363, 0.363, 0.274]]}

---

What did the ninth record say?
{"formula": "CaNi6As2", "functional": "PBE", "state": "optimized geometry", "e_form_ev_per_fu": -1.43, "de_polymorph_kj_per_mol_atoms": 14.2, "lattice_angstrom": [[3.746, 0.318, 0.909], [1.031, 5.872, 1.945], [0.478, 0.066, 6.252]], "species": ["Ca", "Ni", "Ni", "Ni", "Ni", "Ni", "Ni", "As", "As"], "fractional_positions": [[0.000, 0.000, 0.000], [0.811, 0.504, 0.873], [0.500, 0.312, 0.688], [0.500, 0.688, 0.312], [0.189, 0.127, 0.496], [0.189, 0.496, 0.127], [0.811, 0.873, 0.504], [0.302, 0.698, 0.698], [0.698, 0.302, 0.302]]}